[1]
The following is a DFT calculation (GGA-PBE) of a geometry-optimized KAs2IBr structure.

Computed properties:
Energy relative to the lowest polymorph listed for this composition (meV/atom): 511
Uncorrected formation energy (eV/atom): 0.802

Unit cell a=6.779 b=6.779 c=5.783 alpha=90.00 beta=90.00 gamma=90.00
Fractional coordinates of all 5 atoms:
K1 0.000 0.000 0.000
As1 0.000 0.500 0.000
As2 0.500 0.000 0.000
I1 0.500 0.500 0.500
Br1 0.000 0.000 0.500



[2]
The following is a DFT calculation (GGA-PBE) of a geometry-optimized KTlAgSe2 structure.

Computed properties:
Uncorrected formation energy (eV/atom): -0.487

Unit cell a=7.473 b=7.473 c=9.077 alpha=102.64 beta=102.64 gamma=41.31
Fractional coordinates of all 10 atoms:
K1 0.164 0.164 0.203
K2 0.836 0.836 0.797
Tl1 0.451 0.451 0.269
Tl2 0.549 0.549 0.731
Ag1 0.167 0.167 0.587
Ag2 0.833 0.833 0.413
Se1 0.094 0.094 0.830
Se2 0.354 0.354 0.545
Se3 0.646 0.646 0.455
Se4 0.906 0.906 0.170



[3]
The following is a DFT calculation (GGA-PBE) of a geometry-optimized Ga2TeAu structure.

Computed properties:
Uncorrected formation energy (eV/atom): -0.165

Unit cell a=4.023 b=4.023 c=19.395 alpha=90.00 beta=90.00 gamma=120.00
Fractional coordinates of all 12 atoms:
Ga1 0.000 0.000 0.239
Ga2 0.000 0.000 0.761
Ga3 0.333 0.667 0.428
Ga4 0.333 0.667 0.906
Ga5 0.667 0.333 0.094
Ga6 0.667 0.333 0.572
Te1 0.000 0.000 0.000
Te2 0.333 0.667 0.667
Te3 0.667 0.333 0.333
Au1 0.000 0.000 0.500
Au2 0.333 0.667 0.167
Au3 0.667 0.333 0.833



[4]
The following is a DFT calculation (GGA-PBE) of a geometry-optimized Pr7AgBr12 structure.

Computed properties:
Uncorrected formation energy (eV/atom): -1.524

Unit cell a=9.648 b=9.648 c=9.648 alpha=108.56 beta=108.56 gamma=108.56
Fractional coordinates of all 20 atoms:
Pr1 0.000 0.000 0.000
Pr2 0.160 0.375 0.455
Pr3 0.375 0.455 0.160
Pr4 0.455 0.160 0.375
Pr5 0.545 0.840 0.625
Pr6 0.625 0.545 0.840
Pr7 0.840 0.625 0.545
Ag1 0.500 0.500 0.500
Br1 0.019 0.338 0.105
Br2 0.105 0.019 0.338
Br3 0.194 0.720 0.576
Br4 0.280 0.424 0.806
Br5 0.338 0.105 0.019
Br6 0.424 0.806 0.280
Br7 0.576 0.194 0.720
Br8 0.662 0.895 0.981
Br9 0.720 0.576 0.194
Br10 0.806 0.280 0.424
Br11 0.895 0.981 0.662
Br12 0.981 0.662 0.895



[5]
The following is a DFT calculation (GGA-PBE) of a geometry-optimized LiNd2PbO structure.

Computed properties:
Uncorrected formation energy (eV/atom): -1.411

Unit cell a=4.967 b=4.967 c=4.504 alpha=90.00 beta=90.00 gamma=90.00
Fractional coordinates of all 5 atoms:
Li1 0.000 0.000 0.000
Nd1 0.000 0.500 0.500
Nd2 0.500 0.000 0.500
Pb1 0.500 0.500 0.000
O1 0.000 0.000 0.500



[6]
The following is a DFT calculation (GGA-PBE) of a geometry-optimized Cs2BSBr6 structure.

Computed properties:
Uncorrected formation energy (eV/atom): -0.552

Unit cell a=7.912 b=7.912 c=7.912 alpha=123.29 beta=123.29 gamma=84.40
Fractional coordinates of all 10 atoms:
Cs1 0.250 0.750 0.500
Cs2 0.750 0.250 0.500
B1 0.000 0.000 0.000
S1 0.500 0.500 0.000
Br1 0.206 0.206 0.413
Br2 0.206 0.794 0.000
Br3 0.288 0.288 0.000
Br4 0.712 0.712 0.000
Br5 0.794 0.206 0.000
Br6 0.794 0.794 0.587



[7]
The following is a DFT calculation (GGA-PBE) of a geometry-optimized Pm4TlGeTe2 structure.

Computed properties:
Uncorrected formation energy (eV/atom): -1.019

Unit cell a=7.593 b=4.372 c=7.849 alpha=90.00 beta=108.63 gamma=90.00
Fractional coordinates of all 8 atoms:
Pm1 0.232 0.000 0.231
Pm2 0.241 0.500 0.756
Pm3 0.759 0.500 0.244
Pm4 0.768 0.000 0.769
Tl1 0.500 0.000 0.000
Ge1 0.000 0.500 0.000
Te1 0.000 0.000 0.500
Te2 0.500 0.500 0.500



[8]
The following is a DFT calculation (GGA-PBE) of a geometry-optimized Pm5ZnHg4 structure.

Computed properties:
Energy of formation from the pure elements (kJ/mol of atoms): -42.70

Unit cell a=3.771 b=3.771 c=19.002 alpha=90.00 beta=90.00 gamma=90.00
Fractional coordinates of all 10 atoms:
Pm1 0.000 0.000 0.000
Pm2 0.000 0.000 0.204
Pm3 0.000 0.000 0.409
Pm4 0.000 0.000 0.591
Pm5 0.000 0.000 0.796
Zn1 0.500 0.500 0.500
Hg1 0.500 0.500 0.102
Hg2 0.500 0.500 0.307
Hg3 0.500 0.500 0.693
Hg4 0.500 0.500 0.898



[9]
The following is a DFT calculation (GGA-PBE) of a geometry-optimized GaFeRh3 structure.

Computed properties:
Energy relative to the lowest polymorph listed for this composition (meV/atom): 369
Energy of formation from the pure elements (kJ/mol of atoms): 119.43

Unit cell a=4.484 b=4.484 c=4.484 alpha=90.00 beta=90.00 gamma=90.00
Fractional coordinates of all 5 atoms:
Ga1 0.000 0.000 0.000
Fe1 0.500 0.500 0.500
Rh1 0.000 0.000 0.500
Rh2 0.000 0.500 0.000
Rh3 0.500 0.000 0.000



[10]
The following is a DFT calculation (GGA-PBE) of a geometry-optimized K2RbNaO structure.

Computed properties:
Uncorrected formation energy (eV/atom): -0.517

Unit cell a=5.601 b=5.601 c=5.889 alpha=90.00 beta=90.00 gamma=90.00
Fractional coordinates of all 5 atoms:
K1 0.000 0.500 0.000
K2 0.500 0.000 0.000
Rb1 0.000 0.000 0.500
Na1 0.500 0.500 0.500
O1 0.000 0.000 0.000



[11]
The following is a DFT calculation (GGA-PBE) of a geometry-optimized HoAl7Ni2 structure.

Computed properties:
Energy of formation from the pure elements (kJ/mol of atoms): -18.25

Unit cell a=6.627 b=6.627 c=4.377 alpha=90.00 beta=90.00 gamma=101.48
Fractional coordinates of all 10 atoms:
Ho1 0.000 0.000 0.000
Al1 0.100 0.354 0.500
Al2 0.323 0.677 0.000
Al3 0.354 0.100 0.500
Al4 0.500 0.500 0.500
Al5 0.646 0.900 0.500
Al6 0.677 0.323 0.000
Al7 0.900 0.646 0.500
Ni1 0.264 0.736 0.500
Ni2 0.736 0.264 0.500



[12]
The following is a DFT calculation (GGA-PBE) of a geometry-optimized K2Mg2Hg structure.

Computed properties:
Energy relative to the lowest polymorph listed for this composition (meV/atom): 0
Energy of formation from the pure elements (kJ/mol of atoms): 3.75

Unit cell a=7.565 b=7.565 c=6.292 alpha=90.00 beta=90.00 gamma=90.00
Fractional coordinates of all 10 atoms:
K1 0.180 0.320 0.000
K2 0.320 0.820 0.000
K3 0.680 0.180 0.000
K4 0.820 0.680 0.000
Mg1 0.149 0.649 0.500
Mg2 0.351 0.149 0.500
Mg3 0.649 0.851 0.500
Mg4 0.851 0.351 0.500
Hg1 0.000 0.000 0.500
Hg2 0.500 0.500 0.500



no.,density of states at the Fermi level (states/eV/cell),raw total energy (eV/atom)
1,7.4,-1.922
2,1.8,-3.144
3,5.7,-3.283
4,10.6,-4.343
5,2.1,-5.434
6,3.3,-2.807
7,5.6,-5.053
8,11.4,-3.066
9,10.3,-5.471
10,1.6,-2.405
11,5.8,-4.423
12,6.3,-1.098